[1]
VASP calculation (PBE) on a relaxed Li2ScPt crystal.

Cell: 3.5695 4.0549 9.1921 Å, 90.00 90.00 90.00°
Closest atoms and distances in Å follow each position.
Fractional positions:
Li 0.0000 0.0000 0.2391  4 Li 2.71, 2 Pt 2.83, 4 Sc 2.99
Li 0.0000 0.0000 0.7609  4 Li 2.71, 2 Pt 2.83, 4 Sc 2.99
Li 0.5000 0.5000 0.2609  4 Li 2.71, 2 Pt 2.83, 4 Sc 2.99
Li 0.5000 0.5000 0.7391  4 Li 2.71, 2 Pt 2.83, 4 Sc 2.99
Sc 0.0000 0.5000 0.0000  4 Pt 2.70, 8 Li 2.99
Sc 0.5000 0.0000 0.5000  4 Pt 2.70, 8 Li 2.99
Pt 0.0000 0.5000 0.5000  4 Sc 2.70, 4 Li 2.83
Pt 0.5000 0.0000 0.0000  4 Sc 2.70, 4 Li 2.83

Output
energy relative to the lowest polymorph listed for this composition: 9 meV per atom
total moment: 0.00 μB/f.u.
uncorrected energy: -0.33953 Ry/atom
formation energy: -0.57 eV/atom
DOS at the Fermi energy: 1.56 states/eV/f.u.

[2]
VASP calculation (PBE) on a relaxed Tb4Pd7Au crystal.

Cell: 5.5058 5.6128 8.2124 Å, 87.68 77.22 76.38°
Closest atoms and distances in Å follow each position.
Fractional positions:
Tb 0.0472 0.3460 0.2042  8 Pd 2.79-3.10, 1 Au 2.99
Tb 0.3865 0.7464 0.3543  8 Pd 2.84-3.14
Tb 0.6135 0.2536 0.6457  8 Pd 2.84-3.14
Tb 0.9528 0.6540 0.7958  8 Pd 2.79-3.10, 1 Au 2.99
Pd 0.0209 0.8382 0.1258  4 Pd 2.71-2.87, 3 Tb 2.79-2.99, 1 Au 2.95
Pd 0.1553 0.2534 0.5405  4 Pd 2.77-3.05, 4 Tb 2.84-2.98
Pd 0.4118 0.8070 0.7168  4 Pd 2.78-3.05, 1 Au 2.79, 5 Tb 2.79-3.10
Pd 0.5000 0.5000 0.0000  2 Au 2.81, 4 Pd 2.87-2.90, 2 Tb 2.97
Pd 0.5882 0.1930 0.2832  4 Pd 2.78-3.05, 1 Au 2.79, 5 Tb 2.79-3.10
Pd 0.8447 0.7466 0.4595  4 Pd 2.77-3.05, 4 Tb 2.84-2.98
Pd 0.9791 0.1618 0.8742  4 Pd 2.71-2.87, 3 Tb 2.79-2.99, 1 Au 2.95
Au 0.5000 0.0000 0.0000  6 Pd 2.79-2.95, 2 Tb 2.99

Output
total moment: 0.00 μB/f.u.
uncorrected energy: -0.41567 Ry/atom
formation energy: -0.81 eV/atom
DOS at the Fermi energy: 6.14 states/eV/f.u.

[3]
VASP calculation (PBE) on a relaxed HgRu crystal.

Cell: 2.9029 2.9029 9.7584 Å, 90.00 90.00 120.00°
Closest atoms and distances in Å follow each position.
Fractional positions:
Hg 0.3333 0.6667 0.3516  6 Hg 2.90, 3 Ru 2.97
Hg 0.6667 0.3333 0.6484  6 Hg 2.90, 3 Ru 2.97
Ru 0.3333 0.6667 0.9000  3 Ru 2.57
Ru 0.6667 0.3333 0.1000  3 Ru 2.57

Output
total moment: 0.00 μB/f.u.
uncorrected energy: -0.32157 Ry/atom
formation energy: 0.41 eV/atom
DOS at the Fermi energy: 1.72 states/eV/f.u.

[4]
VASP calculation (PBE) on a relaxed Fe3NiRu crystal.

Cell: 4.2563 4.2563 4.2563 Å, 90.00 90.00 90.00°
Closest atoms and distances in Å follow each position.
Fractional positions:
Fe 0.0000 0.0000 0.5000  2 Ni 2.13
Fe 0.0000 0.5000 0.0000  2 Ni 2.13
Fe 0.5000 0.0000 0.0000  2 Ni 2.13
Ni 0.0000 0.0000 0.0000  6 Fe 2.13
Ru 0.5000 0.5000 0.5000  12 Fe 3.01

Output
energy relative to the lowest polymorph listed for this composition: 0 meV per atom
total moment: 11.48 μB/f.u.
uncorrected energy: -0.51094 Ry/atom
formation energy: 1.14 eV/atom
DOS at the Fermi energy: 5.50 states/eV/f.u.

[5]
VASP calculation (PBE) on a relaxed Pr3Sn2Br2 crystal.

Cell: 3.7752 7.5440 8.0186 Å, 81.29 89.94 75.54°
Closest atoms and distances in Å follow each position.
Fractional positions:
Pr 0.0000 0.0000 0.0000  4 Br 3.04, 2 Sn 3.32
Pr 0.2684 0.4639 0.7136  3 Br 3.12-3.15, 3 Sn 3.20-3.37
Pr 0.7316 0.5361 0.2864  3 Br 3.12-3.15, 3 Sn 3.20-3.37
Sn 0.0773 0.8412 0.4118  1 Sn 2.90, 2 Pr 3.20
Sn 0.9227 0.1588 0.5882  1 Sn 2.90, 2 Pr 3.20
Br 0.3534 0.2927 0.0953  5 Pr 3.04-3.15
Br 0.6466 0.7073 0.9047  5 Pr 3.04-3.15

Output
total moment: 0.00 μB/f.u.
uncorrected energy: -0.33564 Ry/atom
E_form (uncorrected): -897 meV per atom
DOS at the Fermi energy: 3.60 states/eV/f.u.

[6]
VASP calculation (PBE) on a relaxed Li2ErGa2 crystal.

Cell: 4.5449 3.3339 12.5163 Å, 90.00 90.03 90.00°
Closest atoms and distances in Å follow each position.
Fractional positions:
Li 0.2490 0.2500 0.1355  5 Ga 2.58-2.73
Li 0.2502 0.7500 0.5202  4 Ga 2.75-2.83, 4 Li 2.86
Li 0.7498 0.2500 0.4798  4 Ga 2.75-2.83, 4 Li 2.86
Li 0.7510 0.7500 0.8645  5 Ga 2.58-2.73
Er 0.2509 0.2500 0.7492  6 Ga 3.06-3.15, 6 Li 3.17-3.32, 2 Er 3.33
Er 0.7491 0.7500 0.2508  6 Ga 3.06-3.15, 6 Li 3.17-3.32, 2 Er 3.33
Ga 0.2492 0.2500 0.3456  5 Li 2.63-2.83
Ga 0.2509 0.7500 0.9630  4 Li 2.58-2.73
Ga 0.7491 0.2500 0.0370  4 Li 2.58-2.73
Ga 0.7508 0.7500 0.6544  5 Li 2.63-2.83

Output
energy relative to the lowest polymorph listed for this composition: 61 meV per atom
total moment: 0.00 μB/f.u.
uncorrected energy: -0.23565 Ry/atom
formation energy: -0.32 eV/atom
DOS at the Fermi energy: 1.98 states/eV/f.u.

[7]
VASP calculation (PBE) on a relaxed KBC crystal.

Cell: 2.9020 5.5781 5.8163 Å, 107.64 103.99 90.47°
Closest atoms and distances in Å follow each position.
Fractional positions:
K 0.0809 0.3220 0.1743  3 K 2.90-3.20, 3 B 3.02-3.15, 5 C 3.04-3.20
K 0.9191 0.6780 0.8257  3 K 2.90-3.20, 3 B 3.02-3.15, 5 C 3.04-3.20
B 0.2060 0.9073 0.4117  3 C 1.55-1.74
B 0.7940 0.0927 0.5883  3 C 1.55-1.74
C 0.3380 0.1714 0.6766  3 B 1.55-1.74
C 0.6620 0.8286 0.3234  3 B 1.55-1.74

Output
total moment: 0.00 μB/f.u.
uncorrected energy: -0.39561 Ry/atom
formation energy: 0.28 eV/atom
DOS at the Fermi energy: 0.00 states/eV/f.u.

[8]
VASP calculation (PBE) on a relaxed CaLa2Nd2Tm2 crystal.

Cell: 11.5845 5.2033 8.2046 Å, 90.00 98.48 90.00°
Closest atoms and distances in Å follow each position.
Fractional positions:
Ca 0.0000 0.0000 0.0000  6 Nd 3.66-3.69, 2 La 3.68, 4 Tm 3.73
Ca 0.5000 0.5000 0.0000  6 Nd 3.66-3.69, 2 La 3.68, 4 Tm 3.73
La 0.1443 0.0000 0.4312  5 Tm 3.60-3.70, 3 Nd 3.61-3.68, 3 La 3.64-3.68, 1 Ca 3.68
La 0.3557 0.5000 0.5688  5 Tm 3.60-3.70, 3 Nd 3.61-3.68, 3 La 3.64-3.68, 1 Ca 3.68
La 0.6443 0.5000 0.4312  5 Tm 3.60-3.70, 3 Nd 3.61-3.68, 3 La 3.64-3.68, 1 Ca 3.68
La 0.8557 0.0000 0.5688  5 Tm 3.60-3.70, 3 Nd 3.61-3.68, 3 La 3.64-3.68, 1 Ca 3.68
Nd 0.2164 0.5000 0.1457  3 La 3.61-3.68, 4 Tm 3.63-3.75, 3 Ca 3.66-3.69, 2 Nd 3.69
Nd 0.2836 0.0000 0.8543  3 La 3.61-3.68, 4 Tm 3.63-3.75, 3 Ca 3.66-3.69, 2 Nd 3.69
Nd 0.7164 0.0000 0.1457  3 La 3.61-3.68, 4 Tm 3.63-3.75, 3 Ca 3.66-3.69, 2 Nd 3.69
Nd 0.7836 0.5000 0.8543  3 La 3.61-3.68, 4 Tm 3.63-3.75, 3 Ca 3.66-3.69, 2 Nd 3.69
Tm 0.0751 0.5000 0.7065  1 Tm 3.57, 5 La 3.60-3.70, 4 Nd 3.63-3.75, 2 Ca 3.73
Tm 0.4249 0.0000 0.2935  1 Tm 3.57, 5 La 3.60-3.70, 4 Nd 3.63-3.75, 2 Ca 3.73
Tm 0.5751 0.0000 0.7065  1 Tm 3.57, 5 La 3.60-3.70, 4 Nd 3.63-3.75, 2 Ca 3.73
Tm 0.9249 0.5000 0.2935  1 Tm 3.57, 5 La 3.60-3.70, 4 Nd 3.63-3.75, 2 Ca 3.73

Output
total moment: 0.00 μB/f.u.
uncorrected energy: -0.31381 Ry/atom
formation energy: 0.06 eV/atom
DOS at the Fermi energy: 11.29 states/eV/f.u.

[9]
VASP calculation (PBE) on a relaxed Dy5Y7Ho crystal.

Cell: 8.7024 8.7024 8.7024 Å, 134.93 100.28 96.62°
Closest atoms and distances in Å follow each position.
Fractional positions:
Dy 0.0000 0.0000 0.0000  6 Y 3.34-3.48, 4 Dy 3.41
Dy 0.2689 0.2276 0.5039  2 Dy 3.08-3.41, 2 Y 3.11-3.45
Dy 0.2689 0.7651 0.0414  2 Dy 3.08-3.41, 2 Y 3.11-3.45
Dy 0.7237 0.2276 0.9586  2 Dy 3.08-3.41, 2 Y 3.11-3.45
Dy 0.7237 0.7651 0.4961  2 Dy 3.08-3.41, 2 Y 3.11-3.45
Y 0.0743 0.2472 0.8271  5 Dy 3.45-3.47, 4 Y 3.46-3.86, 1 Ho 3.72
Y 0.3026 0.8026 0.5000  9 Y 3.60-4.01, 4 Dy 3.72
Y 0.4200 0.2472 0.1729  5 Dy 3.45-3.47, 4 Y 3.46-3.86, 1 Ho 3.72
Y 0.4955 0.4955 0.0000  4 Dy 3.11, 4 Y 3.46-3.47
Y 0.5783 0.7471 0.8312  5 Y 3.47-3.77, 5 Dy 3.47-3.48
Y 0.9159 0.7471 0.1688  5 Y 3.47-3.77, 5 Dy 3.47-3.48
Y 0.9919 0.4919 0.5000  6 Dy 3.34-3.53, 1 Ho 3.55, 1 Y 3.60
Ho 0.6855 0.1855 0.5000  7 Y 3.55-3.90, 4 Dy 3.69

Output
total moment: 0.01 μB/f.u.
uncorrected energy: -0.39366 Ry/atom
formation energy: 0.25 eV/atom
DOS at the Fermi energy: 25.53 states/eV/f.u.

[10]
VASP calculation (PBE) on a relaxed Nd8As3Se4Br crystal.

Cell: 8.5003 8.5003 8.5003 Å, 60.42 60.42 60.42°
Closest atoms and distances in Å follow each position.
Fractional positions:
Nd 0.2298 0.7614 0.7614  3 Se 2.88-3.07, 2 As 2.97, 1 Br 3.15
Nd 0.2386 0.2386 0.7702  3 Se 2.88-3.07, 2 As 2.97, 1 Br 3.15
Nd 0.2386 0.7702 0.2386  3 Se 2.88-3.07, 2 As 2.97, 1 Br 3.15
Nd 0.2462 0.2462 0.2462  3 As 2.97, 3 Se 3.06
Nd 0.7538 0.7538 0.7538  3 As 2.97, 3 Se 3.06
Nd 0.7614 0.2298 0.7614  3 Se 2.88-3.07, 2 As 2.97, 1 Br 3.15
Nd 0.7614 0.7614 0.2298  3 Se 2.88-3.07, 2 As 2.97, 1 Br 3.15
Nd 0.7702 0.2386 0.2386  3 Se 2.88-3.07, 2 As 2.97, 1 Br 3.15
As 0.0000 0.0000 0.5000  6 Nd 2.97
As 0.0000 0.5000 0.0000  6 Nd 2.97
As 0.5000 0.0000 0.0000  6 Nd 2.97
Se 0.0000 0.0000 0.0000  6 Nd 2.88
Se 0.0000 0.5000 0.5000  6 Nd 3.06-3.07
Se 0.5000 0.0000 0.5000  6 Nd 3.06-3.07
Se 0.5000 0.5000 0.0000  6 Nd 3.06-3.07
Br 0.5000 0.5000 0.5000  6 Nd 3.15

Output
total moment: 0.00 μB/f.u.
uncorrected energy: -0.43431 Ry/atom
E_form (uncorrected): -1678 meV per atom
DOS at the Fermi energy: 6.57 states/eV/f.u.

What did the seventh record say?
VASP calculation (PBE) on a relaxed KBC crystal.

Cell: 2.9020 5.5781 5.8163 Å, 107.64 103.99 90.47°
Closest atoms and distances in Å follow each position.
Fractional positions:
K 0.0809 0.3220 0.1743  3 K 2.90-3.20, 3 B 3.02-3.15, 5 C 3.04-3.20
K 0.9191 0.6780 0.8257  3 K 2.90-3.20, 3 B 3.02-3.15, 5 C 3.04-3.20
B 0.2060 0.9073 0.4117  3 C 1.55-1.74
B 0.7940 0.0927 0.5883  3 C 1.55-1.74
C 0.3380 0.1714 0.6766  3 B 1.55-1.74
C 0.6620 0.8286 0.3234  3 B 1.55-1.74

Output
total moment: 0.00 μB/f.u.
uncorrected energy: -0.39561 Ry/atom
formation energy: 0.28 eV/atom
DOS at the Fermi energy: 0.00 states/eV/f.u.

Q: uncorrected energy of number 2 (Tb4Pd7Au)?
A: -0.41567 Ry/atom

Q: uncorrected energy of number 9 (Dy5Y7Ho)?
A: -0.39366 Ry/atom